(1)
# PBE Cu3ICl, optimized geometry
# polymorph energy (0 for the lowest one): 0.83 eV/f.u.
# DOS at the Fermi energy: 0.726 states/eV per atom
# V: 25.4 Å³ per atom
# E_form (uncorrected): 686 meV per atom
data_Cu3ICl
_chemical_formula_sum 'Cu3 I1 Cl1'
_cell_length_a 5.026
_cell_length_b 5.026
_cell_length_c 5.026
_cell_angle_alpha 90.00
_cell_angle_beta 90.00
_cell_angle_gamma 90.00
_symmetry_space_group_name_H-M 'P m -3 m'
_symmetry_Int_Tables_number 221
_symmetry_space_group_name_Hall '-P 4 2 3'
loop_
_atom_site_label
_atom_site_fract_x
_atom_site_fract_y
_atom_site_fract_z
Cu1 0.000 0.000 0.500
I1 0.000 0.000 0.000
Cl1 0.500 0.500 0.500

(2)
# PBE LaCeSc2, optimized geometry
# polymorph energy (0 for the lowest one): 0.07 eV/f.u.
# formation enthalpy at 0 K: 38 kJ/mol of formula units
# DOS at the Fermi energy: 1.840 states/eV per atom
# V: 28.7 Å³ per atom
data_LaCeSc2
_chemical_formula_sum 'La1 Ce1 Sc2'
_cell_length_a 5.036
_cell_length_b 5.036
_cell_length_c 4.526
_cell_angle_alpha 90.00
_cell_angle_beta 90.00
_cell_angle_gamma 90.00
_symmetry_space_group_name_H-M 'P 4/m m m'
_symmetry_Int_Tables_number 123
_symmetry_space_group_name_Hall '-P 4 2'
loop_
_atom_site_label
_atom_site_fract_x
_atom_site_fract_y
_atom_site_fract_z
La1 0.000 0.000 0.000
Ce1 0.500 0.500 0.000
Sc1 0.000 0.500 0.500

(3)
# PBE PmNd2SnN, optimized geometry
# DOS at the Fermi energy: 0.375 states/eV per atom
# V: 25.0 Å³ per atom
# E_form (uncorrected): -971 meV per atom
data_PmNd2SnN
_chemical_formula_sum 'Pm1 Nd2 Sn1 N1'
_cell_length_a 5.013
_cell_length_b 5.013
_cell_length_c 4.965
_cell_angle_alpha 90.00
_cell_angle_beta 90.00
_cell_angle_gamma 90.00
_symmetry_space_group_name_H-M 'P 4/m m m'
_symmetry_Int_Tables_number 123
_symmetry_space_group_name_Hall '-P 4 2'
loop_
_atom_site_label
_atom_site_fract_x
_atom_site_fract_y
_atom_site_fract_z
Pm1 0.000 0.000 0.000
Nd1 0.000 0.500 0.500
Sn1 0.500 0.500 0.000
N1 0.000 0.000 0.500